Entry 1:
PBE ThTl, optimized geometry; DFT total energy = -31.93 eV for the cell shown; calculated volume = 352.1 Å³ per cell; SG = No. 216
1.0
7.0611 0.0000 0.0000
0.0000 7.0611 0.0000
0.0000 0.0000 7.0611
Th Tl
4 4
Direct
0.0000 0.0000 0.0000 Th
0.0000 0.5000 0.5000 Th
0.5000 0.0000 0.5000 Th
0.5000 0.5000 0.0000 Th
0.2500 0.2500 0.7500 Tl
0.2500 0.7500 0.2500 Tl
0.7500 0.2500 0.2500 Tl
0.7500 0.7500 0.7500 Tl

=====

Entry 2:
PBE GeBi2Ir, optimized geometry; DFT total energy = -77.32 eV for the cell shown; calculated volume = 363.5 Å³ per cell; SG = No. 216
1.0
7.1365 0.0000 0.0000
0.0000 7.1365 0.0000
0.0000 0.0000 7.1365
Ge Bi Ir
4 8 4
Direct
0.0000 0.0000 0.0000 Ge
0.0000 0.5000 0.5000 Ge
0.5000 0.0000 0.5000 Ge
0.5000 0.5000 0.0000 Ge
0.0000 0.0000 0.5000 Bi
0.0000 0.5000 0.0000 Bi
0.2500 0.2500 0.7500 Bi
0.2500 0.7500 0.2500 Bi
0.5000 0.0000 0.0000 Bi
0.5000 0.5000 0.5000 Bi
0.7500 0.2500 0.2500 Bi
0.7500 0.7500 0.7500 Bi
0.2500 0.2500 0.2500 Ir
0.2500 0.7500 0.7500 Ir
0.7500 0.2500 0.7500 Ir
0.7500 0.7500 0.2500 Ir

=====

Entry 3:
PBE GdErCo2C2, optimized geometry; DFT total energy = -43.76 eV for the cell shown; calculated volume = 90.4 Å³ per cell; SG = No. 115
1.0
3.6138 0.0000 0.0000
0.0000 3.6138 0.0000
0.0000 0.0000 6.9205
Gd Er Co C
1 1 2 2
Direct
0.0000 0.0000 0.0000 Gd
0.0000 0.0000 0.5000 Er
0.5000 0.5000 0.2599 Co
0.5000 0.5000 0.7401 Co
0.0000 0.5000 0.2559 C
0.5000 0.0000 0.7441 C